Entry 1:
Below is crystalline ScCd2AsBr at its relaxed geometry, with properties calculated at the PBE-GGA level.

Cell lengths 5.9243, 5.9243, 4.9843 Å; angles 90.00, 90.00, 90.00 degrees
Last column: nearest neighbours and their distance in Å.
Atoms (fractional coordinates):
Sc 0.0000 0.0000 0.0000  2 As 2.49
Cd 0.0000 0.5000 0.0000  2 Sc 2.96
Cd 0.5000 0.0000 0.0000  2 Sc 2.96
As 0.0000 0.0000 0.5000  2 Sc 2.49
Br 0.5000 0.5000 0.5000  8 Cd 3.87, 4 As 4.19

space group	No. 123
formation energy from raw total energies	0.80	eV per formula unit
ρ	4.03	Mg/m³
DOS at the Fermi energy	2.98	states/eV/f.u.

=====

Entry 2:
Below is crystalline ScCdAsBr2 at its relaxed geometry, with properties calculated at the PBE-GGA level.

Cell lengths 5.1665, 5.1665, 5.5585 Å; angles 90.00, 90.00, 90.00 degrees
Last column: nearest neighbours and their distance in Å.
Atoms (fractional coordinates):
Sc 0.0000 0.0000 0.0000  4 Br 2.58, 2 As 2.78
Cd 0.5000 0.5000 0.5000  4 As 3.65, 8 Br 3.79
As 0.0000 0.0000 0.5000  2 Sc 2.78
Br 0.0000 0.5000 0.0000  2 Sc 2.58
Br 0.5000 0.0000 0.0000  2 Sc 2.58

space group	No. 123
formation energy from raw total energies	-2.92	eV per formula unit
relative energy among the computed polymorphs	0	meV/atom
ρ	4.39	Mg/m³
DOS at the Fermi energy	2.76	states/eV/f.u.

=====

Entry 3:
Below is crystalline ScCdAsBr2 at its relaxed geometry, with properties calculated at the PBE-GGA level.

Cell lengths 5.2562, 5.2562, 5.4341 Å; angles 90.00, 90.00, 90.00 degrees
Last column: nearest neighbours and their distance in Å.
Atoms (fractional coordinates):
Sc 0.0000 0.0000 0.0000  4 As 3.72, 8 Br 3.78
Cd 0.5000 0.5000 0.5000  4 Br 2.63, 2 As 2.72
As 0.5000 0.5000 0.0000  2 Cd 2.72
Br 0.0000 0.5000 0.5000  2 Cd 2.63
Br 0.5000 0.0000 0.5000  2 Cd 2.63

space group	No. 123
formation energy from raw total energies	0.37	eV per formula unit
relative energy among the computed polymorphs	660	meV/atom
ρ	4.34	Mg/m³
DOS at the Fermi energy	3.43	states/eV/f.u.

=====

Entry 4:
Below is crystalline Cd2AsSeBr at its relaxed geometry, with properties calculated at the PBE-GGA level.

Cell lengths 5.5574, 5.5574, 5.0576 Å; angles 90.00, 90.00, 90.00 degrees
Last column: nearest neighbours and their distance in Å.
Atoms (fractional coordinates):
Cd 0.0000 0.5000 0.0000  2 Se 2.78
Cd 0.5000 0.0000 0.0000  2 Se 2.78
As 0.0000 0.0000 0.5000  2 Se 2.53
Se 0.0000 0.0000 0.0000  2 As 2.53, 4 Cd 2.78
Br 0.5000 0.5000 0.5000  8 Cd 3.76, 4 As 3.93

space group	No. 123
formation energy from raw total energies	1.45	eV per formula unit
ρ	4.88	Mg/m³
DOS at the Fermi energy	3.72	states/eV/f.u.